Entry 1:
Density functional theory data (GGA-PBE) for crystalline Tb3Pm9Y2 at its relaxed geometry.

The structure in POSCAR format:
```
Tb3Pm9Y2
1.0
-6.551 -3.489 5.206
8.568 -2.779 1.026
2.135 10.064 9.430
Tb Pm Y
6 18 4
direct
0.750 0.830 0.250
0.170 0.920 0.250
0.080 0.250 0.250
0.920 0.750 0.750
0.830 0.080 0.750
0.250 0.170 0.750
0.519 0.601 0.750
0.724 0.592 0.457
0.724 0.592 0.043
0.399 0.918 0.750
0.868 0.276 0.043
0.868 0.276 0.457
0.408 0.132 0.043
0.408 0.132 0.457
0.918 0.519 0.250
0.082 0.481 0.750
0.592 0.868 0.957
0.592 0.868 0.543
0.132 0.724 0.543
0.132 0.724 0.957
0.601 0.082 0.250
0.276 0.408 0.543
0.276 0.408 0.957
0.481 0.399 0.250
0.667 0.333 0.642
0.667 0.333 0.858
0.333 0.667 0.142
0.333 0.667 0.358
```

Calculated values
The calculation puts the calculated volume at 496.66 Å³/f.u. The density of states at the Fermi level is 36.7 states/eV/cell. As for the magnetization: 0.000 μB per formula unit. As for the space group: P6_3/m, No. 176. Its formation energy is 240 meV per atom.

Entry 2:
Density functional theory data (GGA-PBE) for crystalline TbPmY5 at its relaxed geometry.

The structure in POSCAR format:
```
TbPmY5
1.0
-2.164 5.446 -2.942
-5.573 -1.210 3.235
7.709 3.653 8.191
Tb Pm Y
2 2 10
direct
0.493 0.507 0.750
0.507 0.493 0.250
0.000 0.000 0.000
0.000 0.000 0.500
0.388 0.028 0.835
0.467 0.763 0.536
0.028 0.388 0.335
0.838 0.162 0.750
0.237 0.533 0.964
0.763 0.467 0.036
0.162 0.838 0.250
0.972 0.612 0.665
0.533 0.237 0.464
0.612 0.972 0.165
```

Calculated values
The calculation puts the calculated volume at 231.94 Å³/f.u. The density of states at the Fermi level is 25.5 states/eV/cell. The value obtained for the energy above the most stable polymorph in this dataset is 0 meV per atom. As for the magnetization: 0.000 μB per formula unit. As for the space group: C2/c, No. 15. Its formation energy is 107 meV per atom.

Entry 3:
Density functional theory data (GGA-PBE) for crystalline Tb3Pm2Y2 at its relaxed geometry.

The structure in POSCAR format:
```
Tb3Pm2Y2
1.0
3.509 -0.521 0.552
-0.355 11.783 1.734
1.101 1.332 5.959
Tb Pm Y
3 2 2
direct
0.000 0.000 0.000
0.572 0.429 0.284
0.428 0.571 0.716
0.857 0.143 0.429
0.143 0.857 0.571
0.717 0.288 0.854
0.283 0.712 0.146
```

Calculated values
The calculation puts the calculated volume at 228.77 Å³/f.u. The density of states at the Fermi level is 9.2 states/eV/cell. The value obtained for the energy above the most stable polymorph in this dataset is 0 meV per atom. As for the magnetization: 0.000 μB per formula unit. As for the space group: C2/m, No. 12. Its formation energy is 16 meV per atom.

Entry 4:
Density functional theory data (GGA-PBE) for crystalline Tb5Pm2Y12 at its relaxed geometry.

The structure in POSCAR format:
```
Tb5Pm2Y12
1.0
6.721 0.702 0.248
-2.839 9.405 -6.342
0.313 -2.428 11.171
Tb Pm Y
5 2 12
direct
0.344 0.616 0.685
0.457 0.818 0.280
0.000 0.000 0.500
0.543 0.182 0.720
0.656 0.384 0.315
0.879 0.736 0.750
0.121 0.264 0.250
0.117 0.853 0.089
0.162 0.443 0.857
0.662 0.571 0.884
0.109 0.692 0.469
0.616 0.781 0.534
0.348 0.024 0.891
0.652 0.976 0.109
0.891 0.308 0.531
0.384 0.219 0.466
0.838 0.557 0.143
0.338 0.429 0.116
0.883 0.147 0.911
```

Calculated values
The calculation puts the calculated volume at 624.54 Å³/f.u. The density of states at the Fermi level is 29.6 states/eV/cell. The value obtained for the energy above the most stable polymorph in this dataset is 0 meV per atom. As for the magnetization: 0.000 μB per formula unit. As for the space group: P-1, No. 2. Its formation energy is 82 meV per atom.